# Tb3InAg

Tb3InAg after structural relaxation (PBE-GGA, Alexandria).

Values from the calculation:
* calculated total energy: -81.18 eV for the cell shown
* formation energy: -0.163 eV per atom
* distance to the lowest polymorph of the same formula: 0.123 eV/atom

a b c (Å): 6.7667 6.7667 14.6434
angles (deg): 95.49 95.49 56.72
Closest atoms and distances in Å follow each position.
Fractional positions:
Tb 0.0154 0.6495 0.2038  2 Ag 3.07-3.27, 1 In 3.44
Tb 0.0570 0.8153 0.8918  2 Ag 2.98-2.99, 2 In 3.17-3.29, 1 Tb 3.33
Tb 0.1455 0.4722 0.5988  2 Ag 3.05-3.07, 2 Tb 3.27-3.33, 2 In 3.30-3.32
Tb 0.1847 0.9430 0.6082  2 Ag 2.98-2.99, 2 In 3.17-3.29, 1 Tb 3.33
Tb 0.3505 0.9846 0.2962  2 Ag 3.07-3.27, 1 In 3.44
Tb 0.4722 0.1455 0.0988  2 Ag 3.05-3.07, 2 Tb 3.27-3.33, 2 In 3.30-3.32
Tb 0.5278 0.8545 0.9012  2 Ag 3.05-3.07, 2 Tb 3.27-3.33, 2 In 3.30-3.32
Tb 0.6495 0.0154 0.7038  2 Ag 3.07-3.27, 1 In 3.44
Tb 0.8153 0.0570 0.3918  2 Ag 2.98-2.99, 2 In 3.17-3.29, 1 Tb 3.33
Tb 0.8545 0.5278 0.4012  2 Ag 3.05-3.07, 2 Tb 3.27-3.33, 2 In 3.30-3.32
Tb 0.9430 0.1847 0.1082  2 Ag 2.98-2.99, 2 In 3.17-3.29, 1 Tb 3.33
Tb 0.9846 0.3505 0.7962  2 Ag 3.07-3.27, 1 In 3.44
In 0.3157 0.5753 0.4137  1 Ag 2.89, 1 Tb 3.17, 1 In 3.18
In 0.4247 0.6843 0.0863  1 Ag 2.89, 1 Tb 3.17, 1 In 3.18
In 0.5753 0.3157 0.9137  1 Ag 2.89, 1 Tb 3.17, 1 In 3.18
In 0.6843 0.4247 0.5863  1 Ag 2.89, 1 Tb 3.17, 1 In 3.18
Ag 0.0000 0.5000 0.0000  6 Tb 2.98-3.07
Ag 0.4198 0.5802 0.7500  2 In 2.89, 4 Tb 2.99-3.05
Ag 0.5000 0.0000 0.5000  6 Tb 2.98-3.07
Ag 0.5802 0.4198 0.2500  2 In 2.89, 4 Tb 2.99-3.05


# In2BPt2

In2BPt2 after structural relaxation (PBE-GGA, Alexandria).

Values from the calculation:
* calculated total energy: -49.32 eV for the cell shown
* formation energy: -0.085 eV per atom

a b c (Å): 5.6924 5.6924 5.6753
angles (deg): 90.00 90.00 90.00
Closest atoms and distances in Å follow each position.
Fractional positions:
In 0.1912 0.3088 0.0000  5 In 2.92-3.08, 2 Pt 3.04
In 0.3088 0.8088 0.0000  5 In 2.92-3.08, 2 Pt 3.04
In 0.6912 0.1912 0.0000  5 In 2.92-3.08, 2 Pt 3.04
In 0.8088 0.6912 0.0000  5 In 2.92-3.08, 2 Pt 3.04
B 0.0000 0.0000 0.5000  4 Pt 2.11
B 0.5000 0.5000 0.5000  4 Pt 2.11
Pt 0.1721 0.6721 0.5000  2 B 2.11
Pt 0.3279 0.1721 0.5000  2 B 2.11
Pt 0.6721 0.8279 0.5000  2 B 2.11
Pt 0.8279 0.3279 0.5000  2 B 2.11


# CaN2Cl2

CaN2Cl2 after structural relaxation (PBE-GGA, Alexandria).

Values from the calculation:
* formation energy (no corrections): 750 meV/atom
* calculated total energy: -37.19 eV for the cell shown
* distance to the lowest polymorph of the same formula: 2.184 eV/atom

a b c (Å): 5.7560 6.9791 6.9791
angles (deg): 65.84 90.00 90.00
Closest atoms and distances in Å follow each position.
Fractional positions:
Ca 0.2501 0.2500 0.7500  2 N 2.65, 4 Cl 2.70
Ca 0.7499 0.7500 0.2500  2 N 2.65, 4 Cl 2.70
N 0.0882 0.5968 0.0968  1 Ca 2.65
N 0.4105 0.9026 0.4026  1 Ca 2.65
N 0.5895 0.4026 0.9026  1 Ca 2.65
N 0.9118 0.0968 0.5968  1 Ca 2.65
Cl 0.0000 0.1092 0.1092  2 Ca 2.70
Cl 0.0000 0.6092 0.6092  2 Ca 2.70
Cl 0.5000 0.3910 0.3910  2 Ca 2.70
Cl 0.5000 0.8910 0.8910  2 Ca 2.70


# Nd3Ga5S12

Nd3Ga5S12 after structural relaxation (PBE-GGA, Alexandria).

Values from the calculation:
* formation energy (no corrections): -1167 meV/atom
* calculated total energy: -409.23 eV for the cell shown

a b c (Å): 13.2207 13.2207 13.2207
angles (deg): 109.47 109.47 109.47
Closest atoms and distances in Å follow each position.
Fractional positions:
Nd 0.1250 0.2500 0.3750  8 S 2.94-3.00
Nd 0.1250 0.3750 0.7500  8 S 2.94-3.00
Nd 0.2500 0.3750 0.1250  8 S 2.94-3.00
Nd 0.2500 0.8750 0.6250  8 S 2.94-3.00
Nd 0.3750 0.1250 0.2500  8 S 2.94-3.00
Nd 0.3750 0.7500 0.1250  8 S 2.94-3.00
Nd 0.6250 0.2500 0.8750  8 S 2.94-3.00
Nd 0.6250 0.8750 0.7500  8 S 2.94-3.00
Nd 0.7500 0.1250 0.3750  8 S 2.94-3.00
Nd 0.7500 0.6250 0.8750  8 S 2.94-3.00
Nd 0.8750 0.6250 0.2500  8 S 2.94-3.00
Nd 0.8750 0.7500 0.6250  8 S 2.94-3.00
Ga 0.0000 0.0000 0.0000  6 S 2.48
Ga 0.0000 0.0000 0.5000  6 S 2.48
Ga 0.0000 0.5000 0.0000  6 S 2.48
Ga 0.0000 0.5000 0.5000  6 S 2.48
Ga 0.1250 0.7500 0.8750  4 S 2.30
Ga 0.1250 0.8750 0.2500  4 S 2.30
Ga 0.2500 0.1250 0.8750  4 S 2.30
Ga 0.2500 0.6250 0.3750  4 S 2.30
Ga 0.3750 0.2500 0.6250  4 S 2.30
Ga 0.3750 0.6250 0.7500  4 S 2.30
Ga 0.5000 0.0000 0.0000  6 S 2.48
Ga 0.5000 0.0000 0.5000  6 S 2.48
Ga 0.5000 0.5000 0.0000  6 S 2.48
Ga 0.5000 0.5000 0.5000  6 S 2.48
Ga 0.6250 0.3750 0.2500  4 S 2.30
Ga 0.6250 0.7500 0.3750  4 S 2.30
Ga 0.7500 0.3750 0.6250  4 S 2.30
Ga 0.7500 0.8750 0.1250  4 S 2.30
Ga 0.8750 0.1250 0.7500  4 S 2.30
Ga 0.8750 0.2500 0.1250  4 S 2.30
S 0.0288 0.2064 0.1208  2 Ga 2.30-2.48
S 0.0288 0.3224 0.9080  2 Ga 2.30-2.48
S 0.0856 0.7064 0.6776  2 Ga 2.30-2.48
S 0.0856 0.8792 0.4080  2 Ga 2.30-2.48
S 0.0920 0.6208 0.4144  2 Ga 2.30-2.48
S 0.0920 0.9712 0.6776  2 Ga 2.30-2.48
S 0.1208 0.0288 0.2064  2 Ga 2.30-2.48
S 0.1208 0.5920 0.9144  2 Ga 2.30-2.48
S 0.1776 0.2064 0.5856  2 Ga 2.30-2.48
S 0.1776 0.4712 0.5920  2 Ga 2.30-2.48
S 0.2064 0.1208 0.0288  2 Ga 2.30-2.48
S 0.2064 0.5856 0.1776  2 Ga 2.30-2.48
S 0.2936 0.3224 0.9144  2 Ga 2.30-2.48
S 0.2936 0.4712 0.3792  2 Ga 2.30-2.48
S 0.3224 0.9080 0.0288  2 Ga 2.30-2.48
S 0.3224 0.9144 0.2936  2 Ga 2.30-2.48
S 0.3792 0.2936 0.4712  2 Ga 2.30-2.48
S 0.3792 0.5856 0.9080  2 Ga 2.30-2.48
S 0.4080 0.0856 0.8792  2 Ga 2.30-2.48
S 0.4080 0.8224 0.5288  2 Ga 2.30-2.48
S 0.4144 0.0920 0.6208  2 Ga 2.30-2.48
S 0.4144 0.8224 0.7936  2 Ga 2.30-2.48
S 0.4712 0.3792 0.2936  2 Ga 2.30-2.48
S 0.4712 0.5920 0.1776  2 Ga 2.30-2.48
S 0.5288 0.4080 0.8224  2 Ga 2.30-2.48
S 0.5288 0.6208 0.7064  2 Ga 2.30-2.48
S 0.5856 0.1776 0.2064  2 Ga 2.30-2.48
S 0.5856 0.9080 0.3792  2 Ga 2.30-2.48
S 0.5920 0.1776 0.4712  2 Ga 2.30-2.48
S 0.5920 0.9144 0.1208  2 Ga 2.30-2.48
S 0.6208 0.4144 0.0920  2 Ga 2.30-2.48
S 0.6208 0.7064 0.5288  2 Ga 2.30-2.48
S 0.6776 0.0856 0.7064  2 Ga 2.30-2.48
S 0.6776 0.0920 0.9712  2 Ga 2.30-2.48
S 0.7064 0.5288 0.6208  2 Ga 2.30-2.48
S 0.7064 0.6776 0.0856  2 Ga 2.30-2.48
S 0.7936 0.4144 0.8224  2 Ga 2.30-2.48
S 0.7936 0.8792 0.9712  2 Ga 2.30-2.48
S 0.8224 0.5288 0.4080  2 Ga 2.30-2.48
S 0.8224 0.7936 0.4144  2 Ga 2.30-2.48
S 0.8792 0.4080 0.0856  2 Ga 2.30-2.48
S 0.8792 0.9712 0.7936  2 Ga 2.30-2.48
S 0.9080 0.0288 0.3224  2 Ga 2.30-2.48
S 0.9080 0.3792 0.5856  2 Ga 2.30-2.48
S 0.9144 0.1208 0.5920  2 Ga 2.30-2.48
S 0.9144 0.2936 0.3224  2 Ga 2.30-2.48
S 0.9712 0.6776 0.0920  2 Ga 2.30-2.48
S 0.9712 0.7936 0.8792  2 Ga 2.30-2.48


# TaCuAg2

TaCuAg2 after structural relaxation (PBE-GGA, Alexandria).

Values from the calculation:
* calculated total energy: -20.99 eV for the cell shown
* formation energy: 0.166 eV per atom
* distance to the lowest polymorph of the same formula: 0.000 eV/atom

a b c (Å): 2.8416 2.8416 8.1651
angles (deg): 90.00 90.00 90.12
Closest atoms and distances in Å follow each position.
Fractional positions:
Ta 0.0000 0.0000 0.0000  4 Cu 2.73, 4 Ta 2.84, 4 Ag 3.00
Cu 0.5000 0.5000 0.2267  4 Ta 2.73, 4 Ag 2.75-2.76, 4 Cu 2.84
Ag 0.0000 0.0000 0.4578  4 Cu 2.75-2.76, 8 Ag 2.84-2.98
Ag 0.5000 0.5000 0.7274  8 Ag 2.84-2.98, 4 Ta 3.00


# CsK3Rb3

CsK3Rb3 after structural relaxation (PBE-GGA, Alexandria).

Values from the calculation:
* calculated total energy: -12.99 eV for the cell shown
* formation energy: 0.079 eV per atom
* distance to the lowest polymorph of the same formula: 0.033 eV/atom

a b c (Å): 13.6390 8.4603 13.6972
angles (deg): 90.00 119.86 90.00
Closest atoms and distances in Å follow each position.
Fractional positions:
Cs 0.1678 0.2500 0.3357  6 K 4.96-4.97, 3 Rb 5.04-5.06
Cs 0.8322 0.7500 0.6643  6 K 4.96-4.97, 3 Rb 5.04-5.06
K 0.0533 0.2500 0.7788  2 K 4.48-4.53, 4 Rb 4.58-4.89, 2 Cs 4.97
K 0.2759 0.7500 0.2226  2 K 4.48-4.53, 4 Rb 4.58-4.89, 2 Cs 4.97
K 0.2757 0.7500 0.5530  2 K 4.53, 4 Rb 4.60-4.89, 2 Cs 4.96
K 0.7243 0.2500 0.4470  2 K 4.53, 4 Rb 4.60-4.89, 2 Cs 4.96
K 0.7241 0.2500 0.7774  2 K 4.48-4.53, 4 Rb 4.58-4.89, 2 Cs 4.97
K 0.9467 0.7500 0.2212  2 K 4.48-4.53, 4 Rb 4.58-4.89, 2 Cs 4.97
Rb 0.2599 0.7500 0.8806  4 K 4.58-4.89, 6 Rb 4.92-5.10, 1 Cs 5.06
Rb 0.3795 0.2500 0.7597  4 K 4.58-4.89, 6 Rb 4.93-5.10, 1 Cs 5.04
Rb 0.3800 0.2500 0.1201  4 K 4.58-4.89, 6 Rb 4.92-5.10, 1 Cs 5.06
Rb 0.6200 0.7500 0.8799  4 K 4.58-4.89, 6 Rb 4.92-5.10, 1 Cs 5.06
Rb 0.6205 0.7500 0.2403  4 K 4.58-4.89, 6 Rb 4.93-5.10, 1 Cs 5.04
Rb 0.7401 0.2500 0.1194  4 K 4.58-4.89, 6 Rb 4.92-5.10, 1 Cs 5.06


# KW

KW after structural relaxation (PBE-GGA, Alexandria).

Values from the calculation:
* calculated total energy: -20.46 eV for the cell shown
* formation energy: 1.910 eV per atom
* distance to the lowest polymorph of the same formula: 0.987 eV/atom

a b c (Å): 5.2052 5.2052 5.2052
angles (deg): 68.62 68.62 68.62
Closest atoms and distances in Å follow each position.
Fractional positions:
K 0.1317 0.1317 0.1317  4 K 3.12-3.49, 4 W 3.28-3.45
K 0.8683 0.8683 0.8683  4 K 3.12-3.49, 4 W 3.28-3.45
W 0.4084 0.4084 0.4084  1 W 2.17
W 0.5916 0.5916 0.5916  1 W 2.17


# LaIn7Ag5

LaIn7Ag5 after structural relaxation (PBE-GGA, Alexandria).

Values from the calculation:
* calculated total energy: -40.53 eV for the cell shown
* formation energy: -0.168 eV per atom

a b c (Å): 7.6438 7.6438 7.6438
angles (deg): 134.57 97.58 99.57
Closest atoms and distances in Å follow each position.
Fractional positions:
La 0.0000 0.0000 0.0000  10 In 3.43-3.68, 6 Ag 3.73-3.80
In 0.1850 0.4892 0.6958  5 Ag 2.88-2.97, 1 In 3.04
In 0.2233 0.7233 0.5000  4 Ag 2.93, 6 In 3.04-3.20
In 0.3472 0.0030 0.3441  5 Ag 2.96-3.09, 4 In 3.14-3.31
In 0.3493 0.3493 0.0000  3 In 2.99-3.20, 4 Ag 3.11
In 0.6527 0.6527 0.0000  1 In 2.99, 6 Ag 3.05-3.17
In 0.6589 0.0030 0.6559  5 Ag 2.96-3.09, 4 In 3.14-3.31
In 0.7934 0.4892 0.3042  5 Ag 2.88-2.97, 1 In 3.04
Ag 0.4953 0.4963 0.5022  7 In 2.88-3.11, 3 Ag 2.93-2.97
Ag 0.4953 0.9931 0.9991  7 In 2.88-3.11, 3 Ag 2.93-2.97
Ag 0.7692 0.2692 0.5000  4 Ag 2.93, 6 In 2.93-3.17
Ag 0.9940 0.4963 0.0009  7 In 2.88-3.11, 3 Ag 2.93-2.97
Ag 0.9940 0.9931 0.4978  7 In 2.88-3.11, 3 Ag 2.93-2.97